# PuMo2H7 | Alexandria via LeMat-Bulk | PBE | relaxed
data_PuMo2H7
_cell_length_a 5.244
_cell_length_b 9.645
_cell_length_c 3.344
_cell_angle_alpha 90.00
_cell_angle_beta 90.00
_cell_angle_gamma 90.00
_symmetry_space_group_name_H-M 'C m m m'
_symmetry_Int_Tables_number 65
_symmetry_space_group_name_Hall '-C 2 2'
loop_
_atom_site_label
_atom_site_type_symbol
_atom_site_fract_x
_atom_site_fract_y
_atom_site_fract_z
_atom_site_occupancy
Pu1 Pu 0.000 0.000 0.000 1
Mo1 Mo 0.000 0.315 0.500 1
H1 H 0.000 0.390 0.000 1
H2 H 0.000 0.500 0.500 1
H3 H 0.165 0.141 0.500 1
# V: 8.46 A^3/atom
# uncorrected energy: -118.52 eV per cell
# calculated density: 8.70 g cm⁻³


# Ta2Mn | Alexandria via LeMat-Bulk | PBE | relaxed
data_Ta2Mn
_cell_length_a 3.108
_cell_length_b 3.108
_cell_length_c 9.773
_cell_angle_alpha 90.00
_cell_angle_beta 90.00
_cell_angle_gamma 90.00
_symmetry_space_group_name_H-M 'I 4/m m m'
_symmetry_Int_Tables_number 139
_symmetry_space_group_name_Hall '-I 4 2'
loop_
_atom_site_label
_atom_site_type_symbol
_atom_site_fract_x
_atom_site_fract_y
_atom_site_fract_z
_atom_site_occupancy
Ta1 Ta 0.000 0.000 0.155 1
Mn1 Mn 0.000 0.000 0.500 1
# V: 15.74 A^3/atom
# formation energy from the elements: -0.16 eV/atom
# uncorrected energy: -66.68 eV per cell
# calculated density: 14.66 g cm⁻³


# SbTePO2 | Alexandria via LeMat-Bulk | PBE | relaxed
data_SbTePO2
_cell_length_a 3.971
_cell_length_b 3.971
_cell_length_c 5.599
_cell_angle_alpha 90.00
_cell_angle_beta 90.00
_cell_angle_gamma 90.00
_symmetry_space_group_name_H-M 'P 4/m m m'
_symmetry_Int_Tables_number 123
_symmetry_space_group_name_Hall '-P 4 2'
loop_
_atom_site_label
_atom_site_type_symbol
_atom_site_fract_x
_atom_site_fract_y
_atom_site_fract_z
_atom_site_occupancy
Sb1 Sb 0.000 0.000 0.000 1
Te1 Te 0.500 0.500 0.500 1
P1 P 0.000 0.000 0.500 1
O1 O 0.000 0.500 0.000 1
# V: 17.66 A^3/atom
# uncorrected energy: -24.13 eV per cell
# calculated density: 5.87 g cm⁻³


# Cd8Pt5Au | Alexandria via LeMat-Bulk | PBE | relaxed
data_Cd8Pt5Au
_cell_length_a 8.143
_cell_length_b 8.143
_cell_length_c 8.260
_cell_angle_alpha 90.00
_cell_angle_beta 90.00
_cell_angle_gamma 90.00
_symmetry_space_group_name_H-M 'I -4'
_symmetry_Int_Tables_number 82
loop_
_symmetry_equiv_pos_as_xyz
'x,y,z'
'y,-x,-z'
'-x,-y,z'
'-y,x,-z'
'x+1/2,y+1/2,z+1/2'
'y+1/2,-x+1/2,-z+1/2'
'-x+1/2,-y+1/2,z+1/2'
'-y+1/2,x+1/2,-z+1/2'
loop_
_atom_site_label
_atom_site_type_symbol
_atom_site_fract_x
_atom_site_fract_y
_atom_site_fract_z
_atom_site_occupancy
Cd1 Cd 0.077 0.330 0.437 1
Cd2 Cd 0.086 0.167 0.782 1
Pt1 Pt 0.000 0.000 0.500 1
Pt2 Pt 0.126 0.238 0.107 1
Au1 Au 0.000 0.500 0.750 1
# V: 19.56 A^3/atom
# formation energy from the elements: -0.18 eV/atom
# uncorrected energy: -86.59 eV per cell
# calculated density: 12.56 g cm⁻³


# TbGdGa | Alexandria via LeMat-Bulk | PBE | relaxed
data_TbGdGa
_cell_length_a 3.599
_cell_length_b 3.599
_cell_length_c 12.409
_cell_angle_alpha 90.00
_cell_angle_beta 90.00
_cell_angle_gamma 90.00
_symmetry_space_group_name_H-M 'I 4 m m'
_symmetry_Int_Tables_number 107
_symmetry_space_group_name_Hall 'I 4 -2'
loop_
_atom_site_label
_atom_site_type_symbol
_atom_site_fract_x
_atom_site_fract_y
_atom_site_fract_z
_atom_site_occupancy
Tb1 Tb 0.000 0.000 0.000 1
Gd1 Gd 0.000 0.000 0.707 1
Ga1 Ga 0.000 0.000 0.356 1
# V: 26.79 A^3/atom
# formation energy from the elements: -0.37 eV/atom
# uncorrected energy: -45.69 eV per cell
# calculated density: 7.97 g cm⁻³


# Ba2Al4Ga3Hg | Alexandria via LeMat-Bulk | PBE | relaxed
data_Ba2Al4Ga3Hg
_cell_length_a 4.633
_cell_length_b 4.633
_cell_length_c 11.071
_cell_angle_alpha 90.00
_cell_angle_beta 90.00
_cell_angle_gamma 90.00
_symmetry_space_group_name_H-M 'P -4 m 2'
_symmetry_Int_Tables_number 115
loop_
_symmetry_equiv_pos_as_xyz
'x,y,z'
'y,-x,-z'
'-x,-y,z'
'-y,x,-z'
'-x,y,z'
'-y,-x,-z'
'x,-y,z'
'y,x,-z'
loop_
_atom_site_label
_atom_site_type_symbol
_atom_site_fract_x
_atom_site_fract_y
_atom_site_fract_z
_atom_site_occupancy
Ba1 Ba 0.000 0.500 0.247 1
Al1 Al 0.000 0.000 0.000 1
Al2 Al 0.000 0.500 0.631 1
Al3 Al 0.500 0.500 0.000 1
Ga1 Ga 0.000 0.500 0.871 1
Ga2 Ga 0.500 0.500 0.500 1
Hg1 Hg 0.000 0.000 0.500 1
# V: 23.77 A^3/atom
# formation energy from the elements: -0.34 eV/atom
# uncorrected energy: -31.62 eV per cell
# calculated density: 5.54 g cm⁻³


Repeat the sixth record exactly.
# Ba2Al4Ga3Hg | Alexandria via LeMat-Bulk | PBE | relaxed
data_Ba2Al4Ga3Hg
_cell_length_a 4.633
_cell_length_b 4.633
_cell_length_c 11.071
_cell_angle_alpha 90.00
_cell_angle_beta 90.00
_cell_angle_gamma 90.00
_symmetry_space_group_name_H-M 'P -4 m 2'
_symmetry_Int_Tables_number 115
loop_
_symmetry_equiv_pos_as_xyz
'x,y,z'
'y,-x,-z'
'-x,-y,z'
'-y,x,-z'
'-x,y,z'
'-y,-x,-z'
'x,-y,z'
'y,x,-z'
loop_
_atom_site_label
_atom_site_type_symbol
_atom_site_fract_x
_atom_site_fract_y
_atom_site_fract_z
_atom_site_occupancy
Ba1 Ba 0.000 0.500 0.247 1
Al1 Al 0.000 0.000 0.000 1
Al2 Al 0.000 0.500 0.631 1
Al3 Al 0.500 0.500 0.000 1
Ga1 Ga 0.000 0.500 0.871 1
Ga2 Ga 0.500 0.500 0.500 1
Hg1 Hg 0.000 0.000 0.500 1
# V: 23.77 A^3/atom
# formation energy from the elements: -0.34 eV/atom
# uncorrected energy: -31.62 eV per cell
# calculated density: 5.54 g cm⁻³


Q: The highest calculated density belongs to which entry?
A: Ta2Mn


Q: uncorrected energy of number 4 (Cd8Pt5Au)?
A: -86.59 eV per cell